{
  "formula": "K2MgB12H20O30",
  "functional": "meta-GGA SCAN",
  "state": "PBEsol geometry",
  "cell": [[7.501, 0.000, 0.000], [-0.277, 7.750, 0.000], [-0.854, -3.465, 10.106]],
  "species": ["K", "K", "Mg", "B", "B", "B", "B", "B", "B", "B", "B", "B", "B", "B", "B", "H", "H", "H", "H", "H", "H", "H", "H", "H", "H", "H", "H", "H", "H", "H", "H", "H", "H", "H", "H", "O", "O", "O", "O", "O", "O", "O", "O", "O", "O", "O", "O", "O", "O", "O", "O", "O", "O", "O", "O", "O", "O", "O", "O", "O", "O", "O", "O", "O", "O"],
  "fractional_positions": [[0.238, 0.365, 0.399], [0.762, 0.635, 0.601], [0.500, 0.000, 0.000], [0.037, 0.243, 0.958], [0.142, 0.840, 0.552], [0.166, 0.983, 0.794], [0.333, 0.302, 0.886], [0.370, 0.107, 0.645], [0.384, 0.437, 0.706], [0.616, 0.563, 0.294], [0.630, 0.893, 0.355], [0.667, 0.698, 0.114], [0.834, 0.017, 0.206], [0.858, 0.160, 0.448], [0.963, 0.757, 0.042], [0.111, 0.680, 0.359], [0.121, 0.564, 0.944], [0.194, 0.026, 0.130], [0.215, 0.807, 0.897], [0.220, 0.533, 0.138], [0.316, 0.718, 0.242], [0.370, 0.017, 0.220], [0.373, 0.705, 0.738], [0.374, 0.941, 0.404], [0.478, 0.637, 0.955], [0.522, 0.363, 0.045], [0.626, 0.059, 0.596], [0.627, 0.295, 0.262], [0.630, 0.983, 0.780], [0.684, 0.282, 0.758], [0.780, 0.467, 0.862], [0.785, 0.193, 0.103], [0.806, 0.974, 0.870], [0.879, 0.436, 0.056], [0.889, 0.320, 0.641], [0.032, 0.064, 0.884], [0.064, 0.698, 0.447], [0.076, 0.864, 0.671], [0.099, 0.697, 0.963], [0.174, 0.366, 0.958], [0.229, 0.612, 0.231], [0.276, 0.135, 0.770], [0.279, 0.955, 0.538], [0.290, 0.883, 0.856], [0.322, 0.072, 0.151], [0.363, 0.272, 0.609], [0.390, 0.451, 0.838], [0.398, 0.590, 0.668], [0.442, 0.926, 0.324], [0.471, 0.254, 0.969], [0.529, 0.746, 0.031], [0.558, 0.074, 0.676], [0.602, 0.410, 0.332], [0.610, 0.549, 0.162], [0.637, 0.728, 0.391], [0.678, 0.928, 0.849], [0.710, 0.117, 0.144], [0.721, 0.045, 0.462], [0.724, 0.865, 0.230], [0.771, 0.388, 0.769], [0.826, 0.634, 0.042], [0.901, 0.303, 0.037], [0.924, 0.136, 0.329], [0.936, 0.302, 0.553], [0.968, 0.936, 0.116]],
  "dos_ef_per_ev_fu": 0.00,
  "energy_ev_per_atom": -7.581
}